The following is a PBE+U calculation of an optimized crystal structure of Tc2WO2, from the Alexandria database.

Lattice parameters (Å, degrees): 5.440 5.440 4.208 90.00 90.00 90.00
Atoms (fractional coordinates):
1 Tc 0.168 0.332 0.000
2 Tc 0.332 0.832 0.000
3 Tc 0.668 0.168 0.000
4 Tc 0.832 0.668 0.000
5 W 0.000 0.000 0.500
6 W 0.500 0.500 0.500
7 O 0.171 0.329 0.500
8 O 0.329 0.829 0.500
9 O 0.671 0.171 0.500
10 O 0.829 0.671 0.500

Calculated values
Calculated total energy = -8.091 eV/atom
Space group = P4/mbm

=====

The following is a PBE+U calculation of an optimized crystal structure of TcWO2, from the Alexandria database.

Lattice parameters (Å, degrees): 6.897 6.897 6.897 146.75 146.75 47.73
Atoms (fractional coordinates):
1 Tc 0.000 0.000 0.000
2 Tc 0.750 0.250 0.500
3 W 0.250 0.750 0.500
4 W 0.500 0.500 0.000
5 O 0.137 0.625 0.012
6 O 0.375 0.387 0.512
7 O 0.613 0.125 0.988
8 O 0.875 0.863 0.488

Calculated values
Calculated total energy = -7.357 eV/atom
Space group = I-42d
Distance to the lowest polymorph of the same formula = 0.2178 eV per atom

=====

The following is a PBE+U calculation of an optimized crystal structure of TcWO4, from the Alexandria database.

Lattice parameters (Å, degrees): 4.756 4.863 5.751 90.00 90.00 90.00
Atoms (fractional coordinates):
1 Tc 0.000 0.000 0.000
2 Tc 0.000 0.500 0.500
3 W 0.500 0.000 0.212
4 W 0.500 0.500 0.712
5 O 0.161 0.249 0.253
6 O 0.161 0.251 0.753
7 O 0.349 0.746 0.970
8 O 0.349 0.754 0.470
9 O 0.651 0.246 0.470
10 O 0.651 0.254 0.970
11 O 0.839 0.749 0.753
12 O 0.839 0.751 0.253

Calculated values
Calculated total energy = -7.832 eV/atom
Space group = Pnc2

=====

D(E_F), record by record: 0.998, 0.602, 0.185 states/eV per atom